No. 1
A plane-wave DFT calculation with PBE was carried out for a relaxed MgSc2B crystal.

- Offset from the most stable computed form: 0.51 eV/f.u.
- Formation energy from the elements: 0.224 eV/atom

Cell: 6.4699 6.4699 6.4699 Å, 90.00 90.00 90.00°
Closest atoms and distances in Å follow each position.
Space group Fm-3m (No. 225)
Symmetry-distinct sites (fractional):
1 Mg 0.0000 0.0000 0.0000 (multiplicity 4)  8 Sc 2.80
2 Sc 0.2500 0.2500 0.2500 (multiplicity 8)  4 Mg 2.80, 4 B 2.80
3 B 0.0000 0.0000 0.5000 (multiplicity 4)  8 Sc 2.80

***

No. 2
A plane-wave DFT calculation with PBE was carried out for a relaxed La4PmHo5 crystal.

- Offset from the most stable computed form: 0.06 eV/f.u.
- Formation energy from the elements: 0.195 eV/atom

Cell: 17.2200 3.5480 11.5069 Å, 90.00 90.23 90.00°
Closest atoms and distances in Å follow each position.
Space group C2/m (No. 12)
Symmetry-distinct sites (fractional):
1 La 0.0340 0.0000 0.2484 (multiplicity 4)  4 Ho 3.34-3.41, 2 Pm 3.45, 2 La 3.55
2 La 0.1621 0.5000 0.7496 (multiplicity 4)  4 La 3.55-3.81, 6 Ho 3.65-3.89
3 Pm 0.0000 0.5000 0.5000 (multiplicity 2)  4 La 3.45, 4 Ho 3.53, 2 Pm 3.55
4 Ho 0.0000 0.5000 0.0000 (multiplicity 2)  4 La 3.41, 6 Ho 3.50-3.55
5 Ho 0.1725 0.0000 0.0460 (multiplicity 4)  2 La 3.34-3.69, 6 Ho 3.38-3.55
6 Ho 0.1740 0.0000 0.4498 (multiplicity 4)  2 La 3.34-3.65, 4 Ho 3.36-3.55, 2 Pm 3.53

***

No. 3
A plane-wave DFT calculation with PBE was carried out for a relaxed CsSeO3 crystal.

- Uncorrected energy: -4.740 eV per atom

Cell: 8.4669 12.3894 4.3180 Å, 90.00 110.81 90.00°
Closest atoms and distances in Å follow each position.
Space group C2/m (No. 12)
Symmetry-distinct sites (fractional):
1 Cs 0.0000 0.1918 0.0000 (multiplicity 4)  8 O 3.09-3.41
2 Se 0.1195 0.5000 0.3054 (multiplicity 4)  2 O 1.69
3 O 0.0000 0.4048 0.5000 (multiplicity 4)  2 Se 1.93
4 O 0.2478 0.3945 0.3117 (multiplicity 8)  1 Se 1.69

***

No. 4
A plane-wave DFT calculation with PBE was carried out for a relaxed NaCe2Sn9 crystal.

- Formation energy from the elements: -0.384 eV/atom

Cell: 4.7065 4.7065 14.3105 Å, 90.00 90.00 90.00°
Closest atoms and distances in Å follow each position.
Space group P4/mmm (No. 123)
Symmetry-distinct sites (fractional):
1 Na 0.0000 0.0000 0.0000 (multiplicity 1)  12 Sn 3.33-3.34
2 Ce 0.0000 0.0000 0.3394 (multiplicity 2)  12 Sn 3.29-3.43
3 Sn 0.0000 0.5000 0.1654 (multiplicity 4)  8 Sn 3.33-3.36, 2 Na 3.34, 2 Ce 3.43
4 Sn 0.0000 0.5000 0.5000 (multiplicity 2)  4 Ce 3.29, 8 Sn 3.33-3.36
5 Sn 0.5000 0.5000 0.0000 (multiplicity 1)  4 Na 3.33, 8 Sn 3.34
6 Sn 0.5000 0.5000 0.3327 (multiplicity 2)  4 Ce 3.33, 8 Sn 3.36